No. 1
# YTa2Re, relaxed, DFT PBE-GGA
data_YTa2Re
_chemical_formula_sum 'Y2 Ta4 Re2'
_space_group_name_H-M_alt 'C m m 2'
_space_group_IT_number 35
_cell_length_a 3.282
_cell_length_b 4.866
_cell_length_c 9.634
_cell_angle_alpha 90.00
_cell_angle_beta 90.00
_cell_angle_gamma 90.00
loop_
_space_group_symop_operation_xyz
'x,y,z'
'-x,-y,z'
'-x,y,z'
'x,-y,z'
'x+1/2,y+1/2,z'
'-x+1/2,-y+1/2,z'
'-x+1/2,y+1/2,z'
'x+1/2,-y+1/2,z'
loop_
_atom_site_label
_atom_site_type_symbol
_atom_site_fract_x
_atom_site_fract_y
_atom_site_fract_z
_atom_site_occupancy
Y1 Y 0.000 0.000 0.000 1
Ta1 Ta 0.000 0.000 0.532 1
Ta2 Ta 0.000 0.500 0.292 1
Re1 Re 0.000 0.500 0.747 1
# * E: -10.4399 eV per atom
# * formation enthalpy at 0 K: 21 kJ per mole of atoms
# * mass density: 13.75 g/cm³
# * energy relative to the lowest polymorph listed for this composition: 0.122 eV per atom

No. 2
# Y2TaRe2, relaxed, DFT PBE-GGA
data_Y2TaRe2
_chemical_formula_sum 'Y4 Ta2 Re4'
_space_group_name_H-M_alt 'P 4/m b m'
_space_group_IT_number 127
_space_group_name_Hall '-P 4 2ab'
_cell_length_a 6.758
_cell_length_b 6.758
_cell_length_c 4.801
_cell_angle_alpha 90.00
_cell_angle_beta 90.00
_cell_angle_gamma 90.00
loop_
_atom_site_label
_atom_site_type_symbol
_atom_site_fract_x
_atom_site_fract_y
_atom_site_fract_z
_atom_site_occupancy
Y1 Y 0.176 0.324 0.000 1
Ta1 Ta 0.000 0.000 0.500 1
Re1 Re 0.128 0.628 0.500 1
# * E: -9.8093 eV per atom
# * formation enthalpy at 0 K: 12 kJ per mole of atoms
# * mass density: 11.07 g/cm³
# * energy relative to the lowest polymorph listed for this composition: 0.000 eV per atom

No. 3
# YTa2Re, relaxed, DFT PBE-GGA
data_YTa2Re
_chemical_formula_sum 'Y3 Ta6 Re3'
_space_group_name_H-M_alt 'R 3 m'
_space_group_IT_number 160
_space_group_name_Hall 'R 3 -2"'
_cell_length_a 3.1315
_cell_length_b 3.1315
_cell_length_c 28.0474
_cell_angle_alpha 90.00
_cell_angle_beta 90.00
_cell_angle_gamma 120.00
loop_
_atom_site_label
_atom_site_type_symbol
_atom_site_fract_x
_atom_site_fract_y
_atom_site_fract_z
_atom_site_occupancy
Y1 Y 0.0000 0.0000 0.0000 1
Ta1 Ta 0.0000 0.0000 0.5102 1
Ta2 Ta 0.0000 0.0000 0.7631 1
Re1 Re 0.0000 0.0000 0.2465 1
# * E: -10.3025 eV per atom
# * formation enthalpy at 0 K: 34 kJ per mole of atoms
# * mass density: 13.32 g/cm³
# * energy relative to the lowest polymorph listed for this composition: 0.259 eV per atom

No. 4
# YTa2Re, relaxed, DFT PBE-GGA
data_YTa2Re
_chemical_formula_sum 'Y1 Ta2 Re1'
_space_group_name_H-M_alt 'P 4/m m m'
_space_group_IT_number 123
_space_group_name_Hall '-P 4 2'
_cell_length_a 4.021
_cell_length_b 4.021
_cell_length_c 4.837
_cell_angle_alpha 90.00
_cell_angle_beta 90.00
_cell_angle_gamma 90.00
loop_
_atom_site_label
_atom_site_type_symbol
_atom_site_fract_x
_atom_site_fract_y
_atom_site_fract_z
_atom_site_occupancy
Y1 Y 0.000 0.000 0.000 1
Ta1 Ta 0.000 0.500 0.500 1
Re1 Re 0.500 0.500 0.000 1
# * E: -10.1455 eV per atom
# * formation enthalpy at 0 K: 49 kJ per mole of atoms
# * mass density: 13.53 g/cm³
# * energy relative to the lowest polymorph listed for this composition: 0.416 eV per atom

Q: What is the formula in the third record?
A: YTa2Re

Q: Which value of mass density does entry 3 give?
A: 13.32 g/cm³

Q: What is the energy relative to the lowest polymorph listed for this composition in the first record?
A: 0.122 eV per atom